A plane-wave DFT calculation with PBE with a Hubbard U was carried out for a geometry-optimized Rb2CoNi3F12 structure.

Computed properties:
As for the crystal system: trigonal. Its magnetic moment is 0.28 μB per atom. Its calculated total energy is -4.253 eV per atom.

a = 7.2424 Å, b = 7.2424 Å, c = 7.2424 Å
α = 59.12°, β = 59.12°, γ = 59.12°
Last column: magnetic moment on the atom in μB.
Positions (direct):
Rb: 0.6256 0.6256 0.6256  0.00
Rb: 0.3744 0.3744 0.3744  0.00
Co: 0.0000 0.0000 0.0000  -0.08
Ni: 0.5000 0.0000 0.0000  1.69
Ni: 0.0000 0.5000 0.0000  1.69
Ni: 0.0000 0.0000 0.5000  1.69
F: 0.3264 0.3264 0.9308  -0.02
F: 0.9312 0.9312 0.3076  0.01
F: 0.3076 0.9312 0.9312  0.01
F: 0.9308 0.3264 0.3264  -0.02
F: 0.9312 0.3076 0.9312  0.01
F: 0.3264 0.9308 0.3264  -0.02
F: 0.6736 0.6736 0.0692  -0.02
F: 0.0688 0.0688 0.6924  0.01
F: 0.6924 0.0688 0.0688  0.01
F: 0.0692 0.6736 0.6736  -0.02
F: 0.0688 0.6924 0.0688  0.01
F: 0.6736 0.0692 0.6736  -0.02